TiMn2PtC (PBE-GGA, optimized geometry); ΔH_f (0 K) = -180 kJ/mol of formula units
1.0
3.842 0.000 0.000
0.000 3.842 0.000
0.000 0.000 4.176
Ti Mn Pt C
1 2 1 1
Direct
0.000 0.000 0.000
0.000 0.500 0.500
0.500 0.000 0.500
0.500 0.500 0.000
0.000 0.000 0.500

=====

MnV2PtC (PBE-GGA, optimized geometry); ΔH_f (0 K) = -167 kJ/mol of formula units
1.0
3.969 0.000 0.000
0.000 3.969 0.000
0.000 0.000 3.792
Mn V Pt C
1 2 1 1
Direct
0.000 0.000 0.000
0.000 0.500 0.500
0.500 0.000 0.500
0.500 0.500 0.000
0.000 0.000 0.500

=====

MnPtW2C (PBE-GGA, optimized geometry); ΔH_f (0 K) = 11 kJ/mol of formula units
1.0
4.145 0.000 0.000
0.000 4.145 0.000
0.000 0.000 3.903
Mn Pt W C
1 1 2 1
Direct
0.000 0.000 0.000
0.500 0.500 0.000
0.000 0.500 0.500
0.500 0.000 0.500
0.000 0.000 0.500

=====

Y2MnPtC (PBE-GGA, optimized geometry); ΔH_f (0 K) = -274 kJ/mol of formula units
1.0
4.945 0.000 0.000
0.000 4.945 0.000
0.000 0.000 3.768
Y Mn Pt C
2 1 1 1
Direct
0.000 0.500 0.000
0.500 0.000 0.000
0.000 0.000 0.500
0.500 0.500 0.500
0.000 0.000 0.000

=====

| no. | electronic total energy (eV/atom) |
| --- | --- |
| 1 | -8.674 |
| 2 | -8.880 |
| 3 | -10.045 |
| 4 | -8.040 |